No. 1
Here is a relaxed structure of ZrSbTeN2 from Alexandria. Energies are from PBE.

Results
Calculated density in Mg/m³: 6.2
Energy relative to the lowest polymorph listed for this composition in eV/atom: 0.602
Formation energy (no corrections) in meV per atom: 1068

Cell and atoms, written as CIF:
```
data_ZrSbTeN2
_symmetry_space_group_name_H-M 'P 1'
_symmetry_Int_Tables_number 1
_symmetry_space_group_name_Hall 'P 1'
_cell_length_a 4.125
_cell_length_b 4.125
_cell_length_c 5.786
_cell_angle_alpha 90.00
_cell_angle_beta 90.00
_cell_angle_gamma 90.00
loop_
_atom_site_label
_atom_site_type_symbol
_atom_site_fract_x
_atom_site_fract_y
_atom_site_fract_z
Zr1 Zr 0.000 0.000 0.000
Sb1 Sb 0.500 0.500 0.500
Te1 Te 0.500 0.500 0.000
N1 N 0.000 0.500 0.500
N2 N 0.500 0.000 0.500
```


No. 2
Here is a relaxed structure of TbCe5Ir6 from Alexandria. Energies are from PBE.

Results
Calculated density in Mg/m³: 12.0
Formation energy in eV per formula unit: -8.201

Cell and atoms, written as CIF:
```
data_TbCe5Ir6
_symmetry_space_group_name_H-M 'P 1'
_symmetry_Int_Tables_number 1
_symmetry_space_group_name_Hall 'P 1'
_cell_length_a 6.987
_cell_length_b 6.987
_cell_length_c 6.974
_cell_angle_alpha 99.59
_cell_angle_beta 99.59
_cell_angle_gamma 120.06
loop_
_atom_site_label
_atom_site_type_symbol
_atom_site_fract_x
_atom_site_fract_y
_atom_site_fract_z
Tb1 Tb 0.000 0.000 0.000
Ce1 Ce 0.167 0.833 0.500
Ce2 Ce 0.334 0.666 0.000
Ce3 Ce 0.500 0.500 0.500
Ce4 Ce 0.666 0.334 0.000
Ce5 Ce 0.833 0.167 0.500
Ir1 Ir 0.084 0.422 0.251
Ir2 Ir 0.253 0.253 0.745
Ir3 Ir 0.422 0.084 0.251
Ir4 Ir 0.578 0.916 0.749
Ir5 Ir 0.747 0.747 0.255
Ir6 Ir 0.916 0.578 0.749
```


No. 3
Here is a relaxed structure of ZrVCr4 from Alexandria. Energies are from PBE.

Results
Calculated density in Mg/m³: 7.0
Formation energy in eV per formula unit: 0.063

Cell and atoms, written as CIF:
```
data_ZrVCr4
_symmetry_space_group_name_H-M 'P 1'
_symmetry_Int_Tables_number 1
_symmetry_space_group_name_Hall 'P 1'
_cell_length_a 4.906
_cell_length_b 4.906
_cell_length_c 4.906
_cell_angle_alpha 60.00
_cell_angle_beta 60.00
_cell_angle_gamma 60.00
loop_
_atom_site_label
_atom_site_type_symbol
_atom_site_fract_x
_atom_site_fract_y
_atom_site_fract_z
Zr1 Zr 0.000 0.000 0.000
V1 V 0.750 0.750 0.750
Cr1 Cr 0.375 0.375 0.375
Cr2 Cr 0.375 0.375 0.874
Cr3 Cr 0.375 0.874 0.375
Cr4 Cr 0.874 0.375 0.375
```